DFT (PBE with a Hubbard U) results for CaPaCr2O6 after structural relaxation.

Computed properties:
SG = P1
Raw total energy = -8.2857 eV/atom
Total moment = 7.0 μB per cell
Calculated volume = 13.06 A^3/atom

abc: 5.5873 5.4528 5.9118
angles: 63.08 59.62 60.95
Atoms (fractional coordinates):
Ca1 0.8064 0.7942 0.6000
Pa1 0.3154 0.3139 0.0606
Cr1 0.5133 0.5262 0.4345
Cr2 0.0089 0.0131 0.9675
O1 0.6333 0.2436 0.2244
O2 0.2174 0.9163 0.2171
O3 0.8955 0.6386 0.2316
O4 0.3669 0.7279 0.7501
O5 0.7442 0.1282 0.7766
O6 0.1603 0.3596 0.7530